This record from the Alexandria database describes an optimized crystal structure of CsMoO4. The functional is GGA+U.

Properties
V: 20.0 A^3/atom
crystal system: monoclinic
magnetization: 2.0 μB per cell
E: -5.909 eV/atom

```
12
Lattice="5.9805 -3.5376 0.0000 5.9805 3.5376 0.0000 -0.2148 0.0000 5.6618" Properties=species:S:1:pos:R:3 pbc="T T T"
Cs 2.1194 0.0000 1.4528
Cs 9.6266 0.0000 4.2090
Mo 5.4209 0.0000 4.1769
Mo 6.3252 0.0000 1.4849
O 4.9706 1.2408 2.3924
O 3.6602 0.0000 4.3806
O 5.9805 1.2498 0.0000
O 6.7754 1.2408 3.2694
O 4.9706 -1.2408 2.3924
O 5.9805 -1.2498 0.0000
O 8.0858 0.0000 1.2812
O 6.7754 -1.2408 3.2694
```